Record 1
! meta-GGA SCAN Ti2MnSiPt, single point on PBEsol structure; values from VASP
! SG: P4/mmm, No. 123
! Energy, eV/atom: -25.7280
&SYSTEM
  ibrav = 0, nat = 5, ntyp = 4
/
ATOMIC_SPECIES
Si 28.09 Si.upf
Mn 54.94 Mn.upf
Pt 195.08 Pt.upf
Ti 47.87 Ti.upf
CELL_PARAMETERS angstrom
4.293 0.000 0.000
0.000 4.293 0.000
0.000 0.000 4.540
ATOMIC_POSITIONS crystal
Si 0.500 0.500 0.500
Mn 0.000 0.000 0.000
Pt 0.000 0.000 0.500
Ti 0.000 0.500 0.000
Ti 0.500 0.000 0.000

***

Record 2
! meta-GGA SCAN Cs2SrBe, single point on PBEsol structure; values from VASP
! SG: Fm-3m, No. 225
! ΔE_f, eV per atom: 0.88
! Energy, eV/atom: -24.6825
&SYSTEM
  ibrav = 0, nat = 4, ntyp = 3
/
ATOMIC_SPECIES
Cs 132.91 Cs.upf
Sr 87.62 Sr.upf
Be 9.01 Be.upf
CELL_PARAMETERS angstrom
6.694 0.000 0.000
3.347 5.797 0.000
3.347 1.932 5.465
ATOMIC_POSITIONS crystal
Cs 0.250 0.250 0.250
Cs 0.750 0.750 0.750
Sr 0.500 0.500 0.500
Be 0.000 0.000 0.000

***

Record 3
! meta-GGA SCAN TiSb2Pt, single point on PBEsol structure; values from VASP
! SG: Fm-3m, No. 225
! Energy, eV/atom: -40.2764
&SYSTEM
  ibrav = 0, nat = 4, ntyp = 3
/
ATOMIC_SPECIES
Sb 121.76 Sb.upf
Pt 195.08 Pt.upf
Ti 47.87 Ti.upf
CELL_PARAMETERS angstrom
-2.874 0.004 3.790
1.117 -2.583 3.834
1.358 2.164 4.012
ATOMIC_POSITIONS crystal
Sb 0.250 0.250 0.250
Sb 0.750 0.750 0.750
Pt 0.500 0.500 0.500
Ti 0.000 0.000 0.000

***

Record 4
! meta-GGA SCAN Tb2Cl3, single point on PBEsol structure; values from VASP
! SG: C2/m, No. 12
! Energy, eV/atom: -25.5668
&SYSTEM
  ibrav = 0, nat = 10, ntyp = 2
/
ATOMIC_SPECIES
Tb 158.93 Tb.upf
Cl 35.45 Cl.upf
CELL_PARAMETERS angstrom
-2.523 1.590 2.364
-1.971 -5.732 4.816
5.084 0.776 7.968
ATOMIC_POSITIONS crystal
Tb 0.140 0.013 0.708
Tb 0.860 0.987 0.292
Tb 0.410 0.230 0.949
Tb 0.590 0.770 0.051
Cl 0.953 0.358 0.735
Cl 0.047 0.642 0.265
Cl 0.769 0.343 0.120
Cl 0.231 0.657 0.880
Cl 0.343 0.807 0.507
Cl 0.657 0.193 0.493

***

Record 5
! meta-GGA SCAN La2PI, single point on PBEsol structure; values from VASP
! SG: I-42d, No. 122
! Energy, eV/atom: -34.3628
&SYSTEM
  ibrav = 0, nat = 8, ntyp = 3
/
ATOMIC_SPECIES
I 126.90 I.upf
P 30.97 P.upf
La 138.91 La.upf
CELL_PARAMETERS angstrom
-6.753 1.877 0.360
-1.780 -6.658 1.326
4.906 3.478 5.476
ATOMIC_POSITIONS crystal
I 0.250 0.750 0.500
I 0.000 0.000 0.000
P 0.750 0.250 0.500
P 0.500 0.500 0.000
La 0.825 0.375 0.250
La 0.425 0.875 0.250
La 0.625 0.575 0.750
La 0.125 0.175 0.750

***

Record 6
! meta-GGA SCAN NbVB4, single point on PBEsol structure; values from VASP
! SG: P6/mmm, No. 191
! ΔE_f, eV per atom: -0.72
! Energy, eV/atom: -14.1063
&SYSTEM
  ibrav = 0, nat = 6, ntyp = 3
/
ATOMIC_SPECIES
Nb 92.91 Nb.upf
B 10.81 B.upf
V 50.94 V.upf
CELL_PARAMETERS angstrom
-1.255 1.364 2.421
0.611 -2.986 0.079
5.728 1.232 2.276
ATOMIC_POSITIONS crystal
Nb 0.000 0.000 0.000
B 0.667 0.333 0.266
B 0.667 0.333 0.734
B 0.333 0.667 0.266
B 0.333 0.667 0.734
V 0.000 0.000 0.500

***

Record 7
! meta-GGA SCAN PPtAu, single point on PBEsol structure; values from VASP
! SG: F-43m, No. 216
! ΔE_f, eV per atom: 0.23
! Energy, eV/atom: -49.6846
! E above lowest polymorph, eV/f.u.: 0.717
&SYSTEM
  ibrav = 0, nat = 3, ntyp = 3
/
ATOMIC_SPECIES
Au 196.97 Au.upf
P 30.97 P.upf
Pt 195.08 Pt.upf
CELL_PARAMETERS angstrom
-3.049 -1.190 -2.698
-1.129 -4.081 -0.258
-3.772 -1.255 1.481
ATOMIC_POSITIONS crystal
Au 0.000 0.000 0.000
P 0.500 0.500 0.500
Pt 0.250 0.250 0.250

***

Record 8
! meta-GGA SCAN TlReAg, single point on PBEsol structure; values from VASP
! SG: Imm2, No. 44
! ΔE_f, eV per atom: 1.11
! Energy, eV/atom: -57.1602
! E above lowest polymorph, eV/f.u.: 0.488
&SYSTEM
  ibrav = 0, nat = 3, ntyp = 3
/
ATOMIC_SPECIES
Re 186.21 Re.upf
Tl 204.38 Tl.upf
Ag 107.87 Ag.upf
CELL_PARAMETERS angstrom
2.785 0.000 0.000
0.000 4.287 0.000
-1.393 -2.144 4.423
ATOMIC_POSITIONS crystal
Re 0.660 0.660 0.320
Tl 0.332 0.332 0.665
Ag 0.008 0.008 0.015

***

Record 9
! meta-GGA SCAN KRhSCl2, single point on PBEsol structure; values from VASP
! SG: P4/mmm, No. 123
! Energy, eV/atom: -14.4597
&SYSTEM
  ibrav = 0, nat = 5, ntyp = 4
/
ATOMIC_SPECIES
K 39.10 K.upf
Rh 102.91 Rh.upf
S 32.06 S.upf
Cl 35.45 Cl.upf
CELL_PARAMETERS angstrom
4.353 0.000 0.000
0.000 5.054 0.000
0.000 0.000 5.054
ATOMIC_POSITIONS crystal
K 0.500 0.500 0.500
Rh 0.000 0.000 0.000
S 0.500 0.000 0.000
Cl 0.000 0.000 0.500
Cl 0.000 0.500 0.000

***

Record 10
! meta-GGA SCAN TaAl4Ir, single point on PBEsol structure; values from VASP
! SG: F-43m, No. 216
! ΔE_f, eV per atom: -0.05
! Energy, eV/atom: -28.1689
&SYSTEM
  ibrav = 0, nat = 6, ntyp = 3
/
ATOMIC_SPECIES
Ir 192.22 Ir.upf
Al 26.98 Al.upf
Ta 180.95 Ta.upf
CELL_PARAMETERS angstrom
5.010 0.000 0.000
2.505 4.339 0.000
2.505 1.446 4.091
ATOMIC_POSITIONS crystal
Ir 0.750 0.750 0.750
Al 0.375 0.375 0.375
Al 0.375 0.375 0.875
Al 0.875 0.375 0.375
Al 0.375 0.875 0.375
Ta 0.000 0.000 0.000

***

Record 11
! meta-GGA SCAN CaSc2Cl, single point on PBEsol structure; values from VASP
! SG: Pmmm, No. 47
! Energy, eV/atom: -11.6714
! E above lowest polymorph, eV/f.u.: 1.853
&SYSTEM
  ibrav = 0, nat = 4, ntyp = 3
/
ATOMIC_SPECIES
Sc 44.96 Sc.upf
Ca 40.08 Ca.upf
Cl 35.45 Cl.upf
CELL_PARAMETERS angstrom
3.324 0.000 0.000
0.000 5.605 0.000
0.000 0.000 5.732
ATOMIC_POSITIONS crystal
Sc 0.000 0.739 0.000
Sc 0.000 0.261 0.000
Ca 0.500 0.500 0.500
Cl 0.500 0.000 0.500

***

Record 12
! meta-GGA SCAN ZrTaCo4, single point on PBEsol structure; values from VASP
! SG: F-43m, No. 216
! ΔE_f, eV per atom: -0.11
! Energy, eV/atom: -27.8590
&SYSTEM
  ibrav = 0, nat = 6, ntyp = 3
/
ATOMIC_SPECIES
Co 58.93 Co.upf
Zr 91.22 Zr.upf
Ta 180.95 Ta.upf
CELL_PARAMETERS angstrom
4.749 0.000 0.000
2.375 4.113 0.000
2.375 1.371 3.878
ATOMIC_POSITIONS crystal
Co 0.375 0.375 0.375
Co 0.375 0.375 0.874
Co 0.874 0.375 0.375
Co 0.375 0.874 0.375
Zr 0.000 0.000 0.000
Ta 0.750 0.750 0.750

***

Record 13
! meta-GGA SCAN SrHfMg2Sb, single point on PBEsol structure; values from VASP
! SG: P4/mmm, No. 123
! Energy, eV/atom: -24.9885
&SYSTEM
  ibrav = 0, nat = 5, ntyp = 4
/
ATOMIC_SPECIES
Sb 121.76 Sb.upf
Mg 24.30 Mg.upf
Hf 178.49 Hf.upf
Sr 87.62 Sr.upf
CELL_PARAMETERS angstrom
-0.095 2.720 -4.607
-4.723 2.122 1.351
2.645 4.304 2.487
ATOMIC_POSITIONS crystal
Sb 0.000 0.000 0.500
Mg 0.000 0.500 0.000
Mg 0.500 0.000 0.000
Hf 0.500 0.500 0.500
Sr 0.000 0.000 0.000

***

Record 14
! meta-GGA SCAN SrScPIr2, single point on PBEsol structure; values from VASP
! SG: P4/mmm, No. 123
! ΔE_f, eV per atom: -0.24
! Energy, eV/atom: -38.0572
&SYSTEM
  ibrav = 0, nat = 5, ntyp = 4
/
ATOMIC_SPECIES
Sc 44.96 Sc.upf
Sr 87.62 Sr.upf
Ir 192.22 Ir.upf
P 30.97 P.upf
CELL_PARAMETERS angstrom
4.538 0.000 0.000
0.000 4.538 0.000
0.000 0.000 4.765
ATOMIC_POSITIONS crystal
Sc 0.000 0.000 0.500
Sr 0.500 0.500 0.500
Ir 0.000 0.500 0.000
Ir 0.500 0.000 0.000
P 0.000 0.000 0.000